First-principles (PBE+U) data for a relaxed V5In3O12 crystal, as listed in Alexandria.

```
data_V5In3O12
_cell_length_a 11.2096
_cell_length_b 11.2096
_cell_length_c 11.2096
_cell_angle_alpha 109.47
_cell_angle_beta 109.47
_cell_angle_gamma 109.47
_symmetry_space_group_name_H-M 'P 1'
_symmetry_Int_Tables_number 1
_symmetry_space_group_name_Hall 'P 1'
loop_
_atom_site_label
_atom_site_type_symbol
_atom_site_fract_x
_atom_site_fract_y
_atom_site_fract_z
_atom_site_occupancy
V1 V 0.0000 0.0000 0.0000 1
V2 V 0.0000 0.0000 0.5000 1
V3 V 0.0000 0.5000 0.0000 1
V4 V 0.0000 0.5000 0.5000 1
V5 V 0.1250 0.7500 0.8750 1
V6 V 0.1250 0.8750 0.2500 1
V7 V 0.2500 0.1250 0.8750 1
V8 V 0.2500 0.6250 0.3750 1
V9 V 0.3750 0.2500 0.6250 1
V10 V 0.3750 0.6250 0.7500 1
V11 V 0.5000 0.0000 0.0000 1
V12 V 0.5000 0.0000 0.5000 1
V13 V 0.5000 0.5000 0.0000 1
V14 V 0.5000 0.5000 0.5000 1
V15 V 0.6250 0.3750 0.2500 1
V16 V 0.6250 0.7500 0.3750 1
V17 V 0.7500 0.3750 0.6250 1
V18 V 0.7500 0.8750 0.1250 1
V19 V 0.8750 0.1250 0.7500 1
V20 V 0.8750 0.2500 0.1250 1
In1 In 0.1250 0.2500 0.3750 1
In2 In 0.1250 0.3750 0.7500 1
In3 In 0.2500 0.3750 0.1250 1
In4 In 0.2500 0.8750 0.6250 1
In5 In 0.3750 0.1250 0.2500 1
In6 In 0.3750 0.7500 0.1250 1
In7 In 0.6250 0.2500 0.8750 1
In8 In 0.6250 0.8750 0.7500 1
In9 In 0.7500 0.1250 0.3750 1
In10 In 0.7500 0.6250 0.8750 1
In11 In 0.8750 0.6250 0.2500 1
In12 In 0.8750 0.7500 0.6250 1
O1 O 0.0041 0.1951 0.1140 1
O2 O 0.0041 0.3091 0.8902 1
O3 O 0.0811 0.6951 0.6909 1
O4 O 0.0811 0.8860 0.3902 1
O5 O 0.1098 0.6140 0.4189 1
O6 O 0.1098 0.9959 0.6909 1
O7 O 0.1140 0.0041 0.1951 1
O8 O 0.1140 0.6098 0.9189 1
O9 O 0.1909 0.1951 0.5811 1
O10 O 0.1909 0.4959 0.6098 1
O11 O 0.1951 0.1140 0.0041 1
O12 O 0.1951 0.5811 0.1909 1
O13 O 0.3049 0.3091 0.9189 1
O14 O 0.3049 0.4959 0.3860 1
O15 O 0.3091 0.8902 0.0041 1
O16 O 0.3091 0.9189 0.3049 1
O17 O 0.3860 0.3049 0.4959 1
O18 O 0.3860 0.5811 0.8902 1
O19 O 0.3902 0.0811 0.8860 1
O20 O 0.3902 0.8091 0.5041 1
O21 O 0.4189 0.1098 0.6140 1
O22 O 0.4189 0.8091 0.8049 1
O23 O 0.4959 0.3860 0.3049 1
O24 O 0.4959 0.6098 0.1909 1
O25 O 0.5041 0.3902 0.8091 1
O26 O 0.5041 0.6140 0.6951 1
O27 O 0.5811 0.1909 0.1951 1
O28 O 0.5811 0.8902 0.3860 1
O29 O 0.6098 0.1909 0.4959 1
O30 O 0.6098 0.9189 0.1140 1
O31 O 0.6140 0.4189 0.1098 1
O32 O 0.6140 0.6951 0.5041 1
O33 O 0.6909 0.0811 0.6951 1
O34 O 0.6909 0.1098 0.9959 1
O35 O 0.6951 0.5041 0.6140 1
O36 O 0.6951 0.6909 0.0811 1
O37 O 0.8049 0.4189 0.8091 1
O38 O 0.8049 0.8860 0.9959 1
O39 O 0.8091 0.5041 0.3902 1
O40 O 0.8091 0.8049 0.4189 1
O41 O 0.8860 0.3902 0.0811 1
O42 O 0.8860 0.9959 0.8049 1
O43 O 0.8902 0.0041 0.3091 1
O44 O 0.8902 0.3860 0.5811 1
O45 O 0.9189 0.1140 0.6098 1
O46 O 0.9189 0.3049 0.3091 1
O47 O 0.9959 0.6909 0.1098 1
O48 O 0.9959 0.8049 0.8860 1
```

Values from the calculation:
The value obtained for the total magnetization is 23.79 μB/cell. The raw total energy comes out at -549.37 eV per cell.